(1)
Material: Sc3PaCo2
Method: DFT, GGA-PBE
State: relaxed

Structure (POSCAR):
```
Sc3PaCo2
1.0
5.681 0.000 0.000
0.000 6.378 -0.317
0.000 -0.314 6.378
Sc Co Pa
6 4 2
Cartesian
4.260 3.620 0.266 Sc
4.260 0.152 5.912 Sc
1.420 0.268 3.620 Sc
4.260 5.796 2.441 Sc
1.420 5.912 0.149 Sc
1.420 2.444 5.795 Sc
2.840 1.617 1.616 Co
2.840 4.448 4.445 Co
0.000 4.448 4.445 Co
0.000 1.617 1.616 Co
1.420 3.553 2.509 Pa
4.260 2.511 3.551 Pa
```

density = 6.97 Mg/m³
energy of formation = -5.86 kcal/mol of atoms
magnetic moment = 0.0 μB/cell
space group = No. 63

(2)
Material: BaMg2CuSe4
Method: DFT, GGA-PBE
State: relaxed

Structure (POSCAR):
```
BaMg2CuSe4
1.0
4.043 0.000 0.000
-2.022 6.894 0.000
0.000 0.000 13.876
Cu Mg Se Ba
2 4 8 2
Cartesian
0.000 2.182 3.469 Cu
2.022 4.712 10.407 Cu
2.022 1.712 0.766 Mg
0.000 5.182 13.111 Mg
2.022 1.712 6.173 Mg
0.000 5.182 7.704 Mg
2.022 0.888 3.469 Se
2.022 3.346 12.401 Se
0.000 3.548 1.476 Se
0.000 0.000 0.000 Se
0.000 3.548 5.462 Se
0.000 0.000 6.938 Se
2.022 3.346 8.414 Se
0.000 6.007 10.407 Se
0.000 1.656 10.407 Ba
2.022 5.238 3.469 Ba
```

uncorrected formation energy = -1.0877 eV/atom
density = 4.85 Mg/m³
magnetic moment = 0.0 μB/cell
space group = No. 63

(3)
Material: Rb2Pa3S9
Method: DFT, GGA-PBE
State: relaxed

Structure (POSCAR):
```
Rb2Pa3S9
1.0
-11.097 -2.801 8.777
2.174 -0.150 -9.175
9.904 -7.859 -1.874
S Pa Rb
18 6 4
Cartesian
3.779 -2.213 -7.099 S
1.611 -7.783 -1.136 S
1.831 -9.794 1.899 S
6.243 -6.867 -7.311 S
10.669 -8.038 -10.060 S
-1.833 -6.594 -1.661 S
-5.292 -1.947 1.807 S
0.428 -5.495 1.487 S
-2.799 -8.597 4.826 S
-5.263 -3.943 5.038 S
-3.886 -6.141 2.212 S
0.552 -5.315 -3.759 S
-0.850 -1.016 -4.171 S
-9.689 -2.772 7.788 S
2.813 -4.216 -0.612 S
6.272 -8.863 -4.079 S
-0.631 -3.026 -1.137 S
4.866 -4.668 -4.484 S
8.787 -8.338 -3.475 Pa
-3.968 -6.232 4.859 Pa
-5.549 -1.400 4.389 Pa
-7.807 -2.471 1.202 Pa
4.948 -4.578 -7.131 Pa
0.490 -5.405 -1.136 Pa
4.932 -6.747 -1.674 Rb
-3.952 -4.063 -0.599 Rb
-1.388 -8.463 1.615 Rb
2.368 -2.347 -3.887 Rb
```

uncorrected formation energy = -1.4263 eV/atom
density = 4.24 Mg/m³
magnetic moment = 0.0 μB/cell
space group = No. 2

(4)
Material: KMgNi
Method: DFT, GGA-PBE
State: relaxed

Structure (POSCAR):
```
KMgNi
1.0
4.442 0.000 0.000
-2.221 3.847 0.000
0.000 0.000 4.842
Mg K Ni
1 1 1
Cartesian
2.221 1.282 2.423 Mg
0.000 0.000 0.001 K
0.000 2.565 2.418 Ni
```

density = 2.45 Mg/m³
energy of formation = 11.05 kcal/mol of atoms
magnetic moment = 0.0 μB/cell
space group = No. 187
energy above the most stable polymorph in this dataset = 173 meV/atom

(5)
Material: CaPrTh2Rh4
Method: DFT, GGA-PBE
State: relaxed

Structure (POSCAR):
```
CaPrTh2Rh4
1.0
0.315 -4.619 3.472
5.534 -1.076 -1.306
-1.298 6.115 3.117
Rh Th Pr Ca
4 2 1 1
Cartesian
0.323 -1.933 1.379 Rh
0.256 2.368 2.036 Rh
2.282 -0.603 -0.414 Rh
3.052 -0.738 2.787 Rh
3.037 1.625 1.246 Th
0.427 -0.146 3.635 Th
5.449 -5.305 2.018 Pr
3.033 -2.953 1.123 Ca
```

density = 9.44 Mg/m³
energy of formation = -14.82 kcal/mol of atoms
magnetic moment = 0.0 μB/cell
space group = No. 42

(6)
Material: Zr2TcAu2
Method: DFT, GGA-PBE
State: relaxed

Structure (POSCAR):
```
Zr2TcAu2
1.0
7.389 0.000 0.000
0.000 7.389 0.000
0.000 0.000 3.590
Au Zr Tc
4 4 2
Cartesian
0.956 2.739 0.000 Au
2.739 6.433 0.000 Au
4.650 0.956 0.000 Au
6.433 4.650 0.000 Au
4.999 6.085 1.795 Zr
6.085 2.390 1.795 Zr
1.304 4.999 1.795 Zr
2.390 1.304 1.795 Zr
0.000 0.000 0.000 Tc
3.695 3.695 0.000 Tc
```

density = 11.42 Mg/m³
energy of formation = -2.68 kcal/mol of atoms
magnetic moment = 1.0 μB/cell
space group = No. 127